Entry from Alexandria via LeMat-Bulk: an optimized crystal structure of NdZn6Pt2 (PBE).

## Properties
- Fermi-level density of states (states/eV/cell) = 6.99
- calculated density (g/cm³) = 9.72
- electronic total energy (eV per atom) = -3.06
- energy of formation (meV/atom) = -342
- total moment (μB per atom) = 0.000

Geometry as CIF:
```
data_NdZn6Pt2
_cell_length_a 4.328
_cell_length_b 6.033
_cell_length_c 12.130
_cell_angle_alpha 90.00
_cell_angle_beta 90.00
_cell_angle_gamma 90.00
_symmetry_space_group_name_H-M 'I m m m'
_symmetry_Int_Tables_number 71
_symmetry_space_group_name_Hall '-I 2 2'
loop_
_atom_site_label
_atom_site_type_symbol
_atom_site_fract_x
_atom_site_fract_y
_atom_site_fract_z
Nd1 Nd 0.000 0.000 0.000
Zn1 Zn 0.000 0.193 0.500
Zn2 Zn 0.000 0.263 0.302
Pt1 Pt 0.000 0.500 0.120
```

***

Entry from Alexandria via LeMat-Bulk: an optimized crystal structure of Ba2TbSn3Pd4 (PBE).

## Properties
- Fermi-level density of states (states/eV/cell) = 5.31
- calculated density (g/cm³) = 7.86
- electronic total energy (eV per atom) = -4.88
- energy of formation (meV/atom) = -756
- total moment (μB per atom) = 0.000

Geometry as CIF:
```
data_Ba2TbSn3Pd4
_cell_length_a 4.750
_cell_length_b 4.750
_cell_length_c 11.381
_cell_angle_alpha 90.00
_cell_angle_beta 90.00
_cell_angle_gamma 90.00
_symmetry_space_group_name_H-M 'P -4 m 2'
_symmetry_Int_Tables_number 115
_symmetry_space_group_name_Hall 'P -4 -2'
loop_
_atom_site_label
_atom_site_type_symbol
_atom_site_fract_x
_atom_site_fract_y
_atom_site_fract_z
Ba1 Ba 0.000 0.500 0.234
Tb1 Tb 0.000 0.000 0.500
Sn1 Sn 0.000 0.500 0.884
Sn2 Sn 0.500 0.500 0.500
Pd1 Pd 0.000 0.000 0.000
Pd2 Pd 0.000 0.500 0.641
Pd3 Pd 0.500 0.500 0.000
```

***

Entry from Alexandria via LeMat-Bulk: an optimized crystal structure of Pa2AlB (PBE).

## Properties
- Fermi-level density of states (states/eV/cell) = 18.78
- calculated density (g/cm³) = 9.36
- electronic total energy (eV per atom) = -7.09
- energy of formation (meV/atom) = 260
- total moment (μB per atom) = 0.000

Geometry as CIF:
```
data_Pa2AlB
_cell_length_a 3.2806
_cell_length_b 3.2806
_cell_length_c 28.5496
_cell_angle_alpha 90.00
_cell_angle_beta 90.00
_cell_angle_gamma 120.00
_symmetry_space_group_name_H-M 'R -3 m'
_symmetry_Int_Tables_number 166
_symmetry_space_group_name_Hall '-R 3 2"'
loop_
_atom_site_label
_atom_site_type_symbol
_atom_site_fract_x
_atom_site_fract_y
_atom_site_fract_z
Pa1 Pa 0.0000 0.0000 0.1114
Al1 Al 0.0000 0.0000 0.0000
B1 B 0.0000 0.0000 0.5000
```

***

Entry from Alexandria via LeMat-Bulk: an optimized crystal structure of Li2CdHgP (PBE).

## Properties
- Fermi-level density of states (states/eV/cell) = 1.33
- calculated density (g/cm³) = 5.09
- electronic total energy (eV per atom) = -2.35
- energy of formation (meV/atom) = -256
- total moment (μB per atom) = 0.000

Geometry as CIF:
```
data_Li2CdHgP
_cell_length_a 4.743
_cell_length_b 4.743
_cell_length_c 5.193
_cell_angle_alpha 90.00
_cell_angle_beta 90.00
_cell_angle_gamma 90.00
_symmetry_space_group_name_H-M 'P 4/m m m'
_symmetry_Int_Tables_number 123
_symmetry_space_group_name_Hall '-P 4 2'
loop_
_atom_site_label
_atom_site_type_symbol
_atom_site_fract_x
_atom_site_fract_y
_atom_site_fract_z
Li1 Li 0.000 0.500 0.000
Cd1 Cd 0.000 0.000 0.500
Hg1 Hg 0.500 0.500 0.500
P1 P 0.000 0.000 0.000
```

***

Entry from Alexandria via LeMat-Bulk: an optimized crystal structure of CaBeFePt2 (PBE).

## Properties
- Fermi-level density of states (states/eV/cell) = 4.08
- calculated density (g/cm³) = 7.87
- electronic total energy (eV per atom) = -4.46
- energy of formation (meV/atom) = 795
- total moment (μB per atom) = 0.596

Geometry as CIF:
```
data_CaBeFePt2
_cell_length_a 4.661
_cell_length_b 4.661
_cell_length_c 4.808
_cell_angle_alpha 90.00
_cell_angle_beta 90.00
_cell_angle_gamma 90.00
_symmetry_space_group_name_H-M 'P 4/m m m'
_symmetry_Int_Tables_number 123
_symmetry_space_group_name_Hall '-P 4 2'
loop_
_atom_site_label
_atom_site_type_symbol
_atom_site_fract_x
_atom_site_fract_y
_atom_site_fract_z
Ca1 Ca 0.000 0.000 0.000
Be1 Be 0.500 0.500 0.000
Fe1 Fe 0.000 0.000 0.500
Pt1 Pt 0.000 0.500 0.500
```

***

Entry from Alexandria via LeMat-Bulk: an optimized crystal structure of CuTe2O2 (PBE).

## Properties
- Fermi-level density of states (states/eV/cell) = 4.07
- calculated density (g/cm³) = 6.69
- E_form (uncorrected) (meV per atom) = -192
- electronic total energy (eV per atom) = -4.25
- total moment (μB per atom) = 0.000

Geometry as CIF:
```
data_CuTe2O2
_cell_length_a 6.311
_cell_length_b 6.311
_cell_length_c 4.375
_cell_angle_alpha 90.00
_cell_angle_beta 90.00
_cell_angle_gamma 90.00
_symmetry_space_group_name_H-M 'P 4/m b m'
_symmetry_Int_Tables_number 127
_symmetry_space_group_name_Hall '-P 4 2ab'
loop_
_atom_site_label
_atom_site_type_symbol
_atom_site_fract_x
_atom_site_fract_y
_atom_site_fract_z
Cu1 Cu 0.000 0.000 0.000
Te1 Te 0.249 0.251 0.500
O1 O 0.249 0.251 0.000
```

***

Entry from Alexandria via LeMat-Bulk: an optimized crystal structure of ZrNb3Co (PBE).

## Properties
- Fermi-level density of states (states/eV/cell) = 14.24
- calculated density (g/cm³) = 6.29
- electronic total energy (eV per atom) = -7.09
- energy of formation (meV/atom) = 2079
- total moment (μB per atom) = 0.000

Geometry as CIF:
```
data_ZrNb3Co
_cell_length_a 4.838
_cell_length_b 4.838
_cell_length_c 4.838
_cell_angle_alpha 90.00
_cell_angle_beta 90.00
_cell_angle_gamma 90.00
_symmetry_space_group_name_H-M 'P m -3 m'
_symmetry_Int_Tables_number 221
_symmetry_space_group_name_Hall '-P 4 2 3'
loop_
_atom_site_label
_atom_site_type_symbol
_atom_site_fract_x
_atom_site_fract_y
_atom_site_fract_z
Zr1 Zr 0.000 0.000 0.000
Nb1 Nb 0.000 0.000 0.500
Co1 Co 0.500 0.500 0.500
```

***

Entry from Alexandria via LeMat-Bulk: an optimized crystal structure of Tb15Ho2Sc2 (PBE).

## Properties
- Fermi-level density of states (states/eV/cell) = 98.42
- calculated density (g/cm³) = 7.54
- electronic total energy (eV per atom) = -4.51
- energy of formation (meV/atom) = 292
- total moment (μB per atom) = 0.001

Geometry as CIF:
```
data_Tb15Ho2Sc2
_cell_length_a 11.0439
_cell_length_b 11.0439
_cell_length_c 17.5283
_cell_angle_alpha 90.00
_cell_angle_beta 90.00
_cell_angle_gamma 120.00
_symmetry_space_group_name_H-M 'R -3 m'
_symmetry_Int_Tables_number 166
_symmetry_space_group_name_Hall '-R 3 2"'
loop_
_atom_site_label
_atom_site_type_symbol
_atom_site_fract_x
_atom_site_fract_y
_atom_site_fract_z
Tb1 Tb 0.0000 0.2941 0.0000
Tb2 Tb 0.0000 0.5000 0.5000
Tb3 Tb 0.0127 0.5064 0.1351
Ho1 Ho 0.0000 0.0000 0.3176
Sc1 Sc 0.0000 0.0000 0.0904
```

***

What did the third record say?
Entry from Alexandria via LeMat-Bulk: an optimized crystal structure of Pa2AlB (PBE).

## Properties
- Fermi-level density of states (states/eV/cell) = 18.78
- calculated density (g/cm³) = 9.36
- electronic total energy (eV per atom) = -7.09
- energy of formation (meV/atom) = 260
- total moment (μB per atom) = 0.000

Geometry as CIF:
```
data_Pa2AlB
_cell_length_a 3.2806
_cell_length_b 3.2806
_cell_length_c 28.5496
_cell_angle_alpha 90.00
_cell_angle_beta 90.00
_cell_angle_gamma 120.00
_symmetry_space_group_name_H-M 'R -3 m'
_symmetry_Int_Tables_number 166
_symmetry_space_group_name_Hall '-R 3 2"'
loop_
_atom_site_label
_atom_site_type_symbol
_atom_site_fract_x
_atom_site_fract_y
_atom_site_fract_z
Pa1 Pa 0.0000 0.0000 0.1114
Al1 Al 0.0000 0.0000 0.0000
B1 B 0.0000 0.0000 0.5000
```

***

What is the Fermi-level density of states in the fourth record?
1.33 states/eV/cell

***

Look up the electronic total energy of the second one.
-4.88 eV per atom